Density functional theory data (PBE+U) for a geometry-optimized RbNa2VO4 structure.

Calculated values
The density is 3.1 Mg/m³. Its space-group type is I-42m (121). The calculation puts the total DFT energy (no corrections) at -5.800 eV per atom.

Lattice parameters (Å, degrees): 5.659 5.659 5.659 117.66 117.66 94.10
Positions (direct):
Rb 0.500 0.500 0.000
Na 0.750 0.250 0.500
Na 0.250 0.750 0.500
V 0.000 0.000 0.000
O 0.696 0.696 0.654
O 0.958 0.304 0.000
O 0.304 0.958 0.000
O 0.042 0.042 0.346